This record from the Alexandria database describes a relaxed structure of Sr4MoBr. The functional is GGA-PBE.

Output
For the total DFT energy (no corrections), the calculation gives -0.0889 Ha/atom. The uncorrected formation energy is 75.9 kJ per mole of atoms.

abc: 7.357 7.357 7.357
angles: 60.00 60.00 60.00
Element x y z (fractional)
Br 0.750 0.750 0.750
Sr 0.878 0.374 0.374
Mo 0.000 0.000 0.000
Sr 0.374 0.374 0.878
Sr 0.374 0.878 0.374
Sr 0.374 0.374 0.374

---

This record from the Alexandria database describes a relaxed structure of K2NiTeSe4. The functional is GGA-PBE.

Output
For the total DFT energy (no corrections), the calculation gives -0.1319 Ha/atom. The uncorrected formation energy is -44.1 kJ per mole of atoms.

abc: 5.150 8.292 11.737
angles: 86.09 77.33 71.91
Element x y z (fractional)
Ni 0.250 0.500 0.500
Se 0.254 0.211 0.857
Se 0.535 0.211 0.143
Se 0.215 0.289 0.357
K 0.817 0.000 0.365
Se 0.862 0.711 0.643
Te 0.000 0.000 0.000
K 0.933 0.500 0.135
Se 0.888 0.789 0.857
K 0.567 0.500 0.865
Se 0.323 0.789 0.143
K 0.183 0.000 0.635
Se 0.496 0.289 0.643
Te 0.750 0.500 0.500
Ni 0.500 0.000 0.000
Se 0.427 0.711 0.357

---

This record from the Alexandria database describes a relaxed structure of K2BaCr. The functional is GGA-PBE.

Output
For the total DFT energy (no corrections), the calculation gives -0.0989 Ha/atom. The energy of formation from the pure elements is 744.1 meV/atom.

abc: 13.238 13.238 13.238
angles: 19.27 19.27 19.27
Element x y z (fractional)
Ba 0.250 0.250 0.250
K 0.482 0.482 0.482
K 0.018 0.018 0.018
Cr 0.750 0.750 0.750

---

This record from the Alexandria database describes a relaxed structure of Pt2Se3I. The functional is GGA-PBE.

Output
For the total DFT energy (no corrections), the calculation gives -0.1562 Ha/atom. The uncorrected formation energy is -22.7 kJ per mole of atoms.

abc: 7.679 7.678 5.748
angles: 90.00 89.99 120.00
Element x y z (fractional)
I 0.667 0.333 0.681
Se 0.339 0.170 0.214
Pt 0.000 0.500 0.000
Se 0.830 0.170 0.214
Se 0.661 0.830 0.786
Pt 0.500 0.500 0.000
Pt 0.000 0.000 0.000
Pt 0.500 0.000 0.000
Se 0.170 0.339 0.786
I 0.333 0.667 0.319
Se 0.830 0.661 0.214
Se 0.170 0.830 0.786